one) Material: Ag2SbPd5
Method: DFT, PBE
State: relaxed

Lattice parameters (Å, degrees): 6.9875 6.9875 7.4934 117.79 117.79 90.00
With the nearest neighbours (Å) after each atom.
Fractional coordinates of all 16 atoms:
Pd 0.3166 0.8166 0.3329  4 Pd 2.73-2.97, 3 Ag 2.77-2.78, 2 Sb 2.82
Pd 0.6834 0.1834 0.6671  4 Pd 2.73-2.97, 3 Ag 2.77-2.78, 2 Sb 2.82
Ag 0.1431 0.3569 0.0000  8 Pd 2.69-2.78, 1 Ag 2.83
Ag 0.6431 0.1431 0.0000  8 Pd 2.69-2.78, 1 Ag 2.83
Pd 0.0163 0.5163 0.3329  4 Pd 2.73-2.97, 3 Ag 2.77-2.78, 2 Sb 2.82
Pd 0.0000 0.0000 0.0000  4 Ag 2.69, 2 Sb 2.82
Pd 0.9837 0.4837 0.6671  4 Pd 2.73-2.97, 3 Ag 2.77-2.78, 2 Sb 2.82
Ag 0.8569 0.6431 0.0000  8 Pd 2.69-2.78, 1 Ag 2.83
Sb 0.2500 0.2500 0.5000  10 Pd 2.82
Sb 0.7500 0.7500 0.5000  10 Pd 2.82
Pd 0.5163 0.3166 0.3329  4 Pd 2.73-2.97, 3 Ag 2.77-2.78, 2 Sb 2.82
Pd 0.4837 0.6834 0.6671  4 Pd 2.73-2.97, 3 Ag 2.77-2.78, 2 Sb 2.82
Pd 0.5000 0.5000 0.0000  4 Ag 2.69, 2 Sb 2.82
Pd 0.1834 0.9837 0.6671  4 Pd 2.73-2.97, 3 Ag 2.77-2.78, 2 Sb 2.82
Pd 0.8166 0.0163 0.3329  4 Pd 2.73-2.97, 3 Ag 2.77-2.78, 2 Sb 2.82
Ag 0.3569 0.8569 0.0000  8 Pd 2.69-2.78, 1 Ag 2.83

Output
Calculated volume ... 17.2 Å³/atom
Theoretical density ... 10.50 g/cm³
Space group ... I4/mcm, No. 140
DOS(E_F) ... 0.47 states/eV/atom

=====

two) Material: Ag2SbPd5
Method: DFT, PBE
State: relaxed

Lattice parameters (Å, degrees): 4.1501 4.1501 8.2394 104.59 104.59 90.00
With the nearest neighbours (Å) after each atom.
Fractional coordinates of all 8 atoms:
Ag 0.7490 0.7490 0.4980  8 Pd 2.86-2.88, 4 Ag 2.93
Pd 0.5000 0.5000 0.0000  8 Pd 2.80, 4 Sb 2.93
Ag 0.2510 0.2510 0.5020  8 Pd 2.86-2.88, 4 Ag 2.93
Pd 0.6216 0.1216 0.2433  6 Pd 2.80-2.93, 2 Sb 2.80, 4 Ag 2.86-2.88
Pd 0.1216 0.6216 0.2433  2 Sb 2.80, 6 Pd 2.80-2.93, 4 Ag 2.86-2.88
Pd 0.8784 0.3784 0.7567  2 Sb 2.80, 6 Pd 2.80-2.93, 4 Ag 2.86-2.88
Pd 0.3784 0.8784 0.7567  6 Pd 2.80-2.93, 2 Sb 2.80, 4 Ag 2.86-2.88
Sb 0.0000 0.0000 0.0000  12 Pd 2.80-2.93

Output
Calculated volume ... 16.6 Å³/atom
Theoretical density ... 10.89 g/cm³
Space group ... I4/mmm, No. 139
DOS(E_F) ... 0.33 states/eV/atom

=====

Relative to the most stable structure, the computed energies are one) 133; two) 0, all in meV per atom.

=====

one) Material: AgSb2Pd2
Method: DFT, PBE
State: relaxed

Lattice parameters (Å, degrees): 7.4985 7.4985 3.5911 90.00 90.00 90.00
With the nearest neighbours (Å) after each atom.
Fractional coordinates of all 10 atoms:
Ag 0.0000 0.0000 0.0000  4 Pd 2.91
Sb 0.6639 0.8361 0.5000  6 Pd 2.78-2.89
Pd 0.1360 0.3640 0.0000  6 Sb 2.78-2.89, 1 Pd 2.89, 2 Ag 2.91
Sb 0.3361 0.1639 0.5000  6 Pd 2.78-2.89
Pd 0.8640 0.6360 0.0000  6 Sb 2.78-2.89, 1 Pd 2.89, 2 Ag 2.91
Ag 0.5000 0.5000 0.0000  4 Pd 2.91
Pd 0.6360 0.1360 0.0000  6 Sb 2.78-2.89, 1 Pd 2.89, 2 Ag 2.91
Pd 0.3640 0.8640 0.0000  6 Sb 2.78-2.89, 1 Pd 2.89, 2 Ag 2.91
Sb 0.8361 0.3361 0.5000  6 Pd 2.78-2.89
Sb 0.1639 0.6639 0.5000  6 Pd 2.78-2.89

Output
Calculated volume ... 20.2 Å³/atom
Theoretical density ... 9.28 g/cm³
Space group ... P4/mbm, No. 127
DOS(E_F) ... 0.40 states/eV/atom

=====

two) Material: AgSb2Pd2
Method: DFT, PBE
State: relaxed

Lattice parameters (Å, degrees): 4.6157 4.6157 6.3504 68.69 68.69 90.00
With the nearest neighbours (Å) after each atom.
Fractional coordinates of all 5 atoms:
Sb 0.7500 0.2500 0.5000  4 Pd 2.70
Ag 0.0000 0.0000 0.0000  8 Pd 3.52, 8 Sb 3.57
Pd 0.6222 0.6222 0.7557  1 Pd 2.66, 4 Sb 2.70
Sb 0.2500 0.7500 0.5000  4 Pd 2.70
Pd 0.3778 0.3778 0.2443  1 Pd 2.66, 4 Sb 2.70

Output
Calculated volume ... 23.2 Å³/atom
Theoretical density ... 8.07 g/cm³
Space group ... I4/mmm, No. 139
DOS(E_F) ... 0.47 states/eV/atom

=====

Relative to the most stable structure, the computed energies are one) 0; two) 262, all in meV per atom.